NaMnTlF4: optimized geometry, PBE with a Hubbard U.

a b c (Å): 5.916 5.944 7.486
angles (deg): 90.00 102.03 90.00
Space group P2_1/m (No. 11)
Asymmetric unit:
Na1 0.176 0.250 0.465 [2 per cell]
Mn1 0.370 0.750 0.698 [2 per cell]
Tl1 0.114 0.750 0.133 [2 per cell]
F1 0.129 0.505 0.692 [4 per cell]
F2 0.299 0.250 0.177 [2 per cell]
F3 0.422 0.750 0.437 [2 per cell]

Calculated values
Total magnetization   5.0 μB/f.u.
VASP energy   -5.024 eV/atom
V   257.5 Å³/cell